DFT (PBE-GGA) results for a geometry-optimized K7SeN12 structure.

Computed properties:
Space-group type   R-3
Formation energy from raw total energies   3351 kJ/mol of formula units

a = 9.711 Å, b = 9.711 Å, c = 9.711 Å
α = 115.78°, β = 115.78°, γ = 115.78°
Last column: magnetic moment on the atom in μB.
Element x y z (fractional)
N 0.210 0.056 0.009  -0.05
K 0.289 0.163 0.800  0.02
N 0.361 0.719 0.166  1.41
N 0.009 0.210 0.056  -0.05
N 0.639 0.281 0.834  1.41
N 0.790 0.944 0.991  -0.05
N 0.991 0.790 0.944  -0.05
N 0.166 0.361 0.719  1.41
Se 0.000 0.000 0.000  0.01
K 0.800 0.289 0.163  0.02
K 0.837 0.200 0.711  0.02
N 0.056 0.009 0.210  -0.05
N 0.944 0.991 0.790  -0.05
N 0.834 0.639 0.281  1.41
K 0.500 0.500 0.500  0.00
N 0.719 0.166 0.361  1.41
K 0.200 0.711 0.837  0.02
K 0.711 0.837 0.200  0.02
N 0.281 0.834 0.639  1.41
K 0.163 0.800 0.289  0.02

=====

DFT (PBE-GGA) results for a geometry-optimized KY2Te6Pb3 structure.

Computed properties:
Space-group type   C2/m
Formation energy from raw total energies   -949 kJ/mol of formula units

a = 4.476 Å, b = 9.539 Å, c = 10.245 Å
α = 103.04°, β = 102.62°, γ = 90.00°
Element x y z (fractional)
Pb 0.500 0.500 0.000
Pb 0.843 0.153 0.686
Te 0.988 0.732 0.976
Y 0.169 0.347 0.337
Te 0.321 0.881 0.641
Te 0.670 0.580 0.341
Te 0.012 0.268 0.024
Te 0.679 0.119 0.359
Pb 0.157 0.847 0.314
K 0.500 0.000 0.000
Y 0.831 0.653 0.663
Te 0.330 0.420 0.659

=====

DFT (PBE-GGA) results for a geometry-optimized Er2InGe structure.

Computed properties:
Space-group type   P4/mmm

a = 3.344 Å, b = 3.344 Å, c = 8.558 Å
α = 90.00°, β = 90.00°, γ = 90.00°
Last column: magnetic moment on the atom in μB.
Element x y z (fractional)
In 0.500 0.500 0.500  0.00
Ge 0.500 0.500 0.000  0.00
Er 0.000 0.000 0.775  0.05
Er 0.000 0.000 0.225  0.05

=====

DFT (PBE-GGA) results for a geometry-optimized BaGaS3 structure.

Computed properties:
Polymorph energy (0 for the lowest one)   147 kJ/mol of formula units
Space-group type   Pm-3m
Formation energy from raw total energies   -437 kJ/mol of formula units

a = 4.878 Å, b = 4.878 Å, c = 4.878 Å
α = 90.00°, β = 90.00°, γ = 90.00°
Element x y z (fractional)
S 0.000 0.000 0.500
Ba 0.500 0.500 0.500
S 0.000 0.500 0.000
S 0.500 0.000 0.000
Ga 0.000 0.000 0.000

=====

DFT (PBE-GGA) results for a geometry-optimized InPt2Cl structure.

Computed properties:
Polymorph energy (0 for the lowest one)   0 kJ/mol of formula units
Space-group type   Cm
Formation energy from raw total energies   -41 kJ/mol of formula units

a = 5.406 Å, b = 5.406 Å, c = 5.519 Å
α = 62.46°, β = 62.46°, γ = 32.27°
Element x y z (fractional)
Pt 0.062 0.062 0.095
Pt 0.313 0.313 0.149
In 0.691 0.691 0.620
Cl 0.434 0.434 0.636

=====

no.,total DFT energy (no corrections) (eV per atom),size of the total moment (μB per cell)
1,-3.8171,12.87
2,-4.4861,0.00
3,-4.6486,0.12
4,-4.3719,0.00
5,-4.2717,0.00